Eu2Co4Si3Ge: optimized geometry, PBE.

Cell lengths 3.931, 3.931, 10.263 Å; angles 90.00, 90.00, 90.00 degrees
Positions (direct):
Eu  0.000  0.000  0.000
Eu  0.500  0.500  0.496
Co  0.000  0.500  0.247
Co  0.000  0.500  0.756
Co  0.500  0.000  0.247
Co  0.500  0.000  0.756
Si  0.000  0.000  0.358
Si  0.500  0.500  0.133
Si  0.500  0.500  0.867
Ge  0.000  0.000  0.630

Results
electronic total energy	-7.593	eV/atom
formation energy without anion corrections	-607	meV/atom

***

TmTaAl2: optimized geometry, PBE.

Cell lengths 9.976, 9.976, 9.976 Å; angles 17.61, 17.61, 17.61 degrees
Positions (direct):
Tm  0.000  0.000  0.000
Ta  0.500  0.500  0.500
Al  0.243  0.243  0.243
Al  0.757  0.757  0.757

Results
electronic total energy	-5.952	eV/atom
polymorph energy (0 for the lowest one)	0.1716	eV per atom
calculated formation energy	0.000	eV per atom

***

BeRe2As: optimized geometry, PBE.

Cell lengths 2.707, 2.707, 8.201 Å; angles 90.00, 90.00, 110.60 degrees
Positions (direct):
Be  0.000  0.000  0.000
Re  0.500  0.500  0.222
Re  0.500  0.500  0.778
As  0.000  0.000  0.500

Results
electronic total energy	-7.764	eV/atom
polymorph energy (0 for the lowest one)	0.5917	eV per atom
calculated formation energy	0.554	eV per atom